NaCdSe after structural relaxation, computed with PBE.

Structure (extended XYZ):
```
6
Lattice="5.8651 0.0000 0.0039 0.0000 4.3604 0.0000 -0.9083 0.0000 6.8257" Properties=species:S:1:pos:R:3 pbc="T T T"
Na 3.4419 0.0000 5.5926
Na 1.5149 0.0000 1.2369
Cd 3.6941 2.1802 2.6987
Cd 1.2627 2.1802 4.1309
Se 2.9326 2.1802 0.0019
Se -0.4542 0.0000 3.4128
```

Symmetry: No. 10
Formation energy without anion corrections, meV per atom: -634
Magnetization, μB/f.u.: 0.000
Crystal system: monoclinic
Electronic total energy, eV/atom: -2.540

***

Pu3Mg5S12 after structural relaxation, computed with PBE.

Structure (extended XYZ):
```
80
Lattice="-8.9238 -9.6317 -1.2341 3.5238 1.1325 12.6581 -5.2142 11.3816 -4.1469" Properties=species:S:1:pos:R:3 pbc="T T T"
Pu -6.0232 -5.3763 3.3028
Pu -5.8173 -6.1556 7.8954
Pu -3.9625 4.3511 6.4390
Pu -3.7458 2.0018 -0.2814
Pu -8.6714 -5.4407 -0.5343
Pu -2.4476 -0.0586 6.4118
Pu -8.1666 2.9411 0.8653
Pu -1.9428 8.3233 7.8114
Pu -6.8684 0.8807 7.5584
Pu -6.6518 -1.4685 0.8381
Pu -4.7970 9.0381 -0.6183
Pu -4.5910 8.2589 3.9742
Mg -1.0976 2.0662 3.5558
Mg 1.7619 0.5663 6.3290
Mg 0.0000 0.0000 0.0000
Mg -3.1173 -1.9060 2.1834
Mg -7.0690 0.8750 -2.6905
Mg -2.7000 -4.2496 5.7120
Mg -0.4280 3.9136 7.7842
Mg -10.8149 2.8768 -2.9719
Mg -6.4458 -2.2478 5.4306
Mg -6.8166 5.0659 -1.9907
Mg -3.7976 -2.1834 9.2678
Mg -5.3071 1.4413 3.6385
Mg -4.4619 -4.8158 -0.6171
Mg -2.6071 5.6908 -2.0735
Mg -4.1684 5.1303 1.8464
Mg 0.2006 0.0058 10.2489
Mg -0.8452 6.2571 4.2556
Mg -10.1863 -1.0311 -0.5071
Mg -7.4970 4.7886 5.0937
Mg -9.5166 0.8164 3.7213
S -6.2270 -6.2723 0.5726
S -3.1403 2.2246 4.7976
S -8.6537 -5.5987 2.3421
S -4.7814 -3.5253 1.5931
S -6.2506 2.8090 5.6112
S -7.3600 -6.5245 5.4907
S -2.2899 2.4063 7.7501
S 1.7695 1.7108 10.8581
S -5.3741 3.1382 8.5432
S -5.2743 -4.2921 5.8645
S -7.2693 -2.7797 3.2446
S -4.3780 -6.3730 10.3813
S -1.4765 5.7811 6.7106
S -2.3020 -2.0462 4.4318
S 0.4908 4.3597 9.9514
S -6.2329 2.8575 -1.2683
S -1.3537 1.8489 1.1837
S -2.1022 -2.6422 7.6384
S -5.6070 -3.7523 9.3347
S -0.1666 0.1580 4.6658
S -3.9905 6.3792 8.3826
S -5.1207 -0.2568 5.5709
S -8.1189 -1.6626 7.0425
S -10.5364 3.2204 -0.6172
S -5.4935 3.1393 1.7062
S -2.4953 4.5452 0.2346
S -0.0778 -0.3379 7.8943
S -5.0073 6.6348 -2.0577
S -6.6237 -3.4967 -1.1055
S -10.4477 2.7245 2.6113
S -8.5121 5.5247 -0.3613
S -4.3814 0.0250 8.5454
S -9.2605 1.0336 6.0934
S -11.1050 -1.4772 -2.6743
S -9.1377 -2.8986 0.5665
S -6.2362 9.2555 -3.1043
S -8.3122 4.9287 2.8453
S -5.2401 -0.2557 -1.2662
S -5.3399 7.1746 1.4125
S -3.3449 5.6622 4.0324
S -12.3838 1.1717 -3.5810
S -8.3244 0.4762 -0.4730
S -5.8329 6.4078 5.6840
S -3.2542 9.4070 1.7864
S -4.3636 0.0735 1.6659
S -1.9606 8.4812 4.9350
S -7.4739 0.6579 2.4795
S -4.3872 9.1548 6.7045
```

Symmetry: No. 230
Formation energy without anion corrections, meV per atom: -1150
Magnetization, μB/f.u.: 9.884
Crystal system: cubic
Electronic total energy, eV/atom: -6.175